1.
# Be2OsAu, optimized geometry, DFT GGA-PBE
# - total DFT energy (no corrections) (eV per formula unit) = -21.542
# - DOS(E_F) (states/eV per atom) = 0.469
# - volume (Å³/atom) = 12.75
data_Be2OsAu
_symmetry_space_group_name_H-M 'P 1'
_symmetry_Int_Tables_number 1
_cell_length_a 2.710
_cell_length_b 2.710
_cell_length_c 7.561
_cell_angle_alpha 90.00
_cell_angle_beta 90.00
_cell_angle_gamma 113.27
loop_
_symmetry_equiv_pos_as_xyz
'x,y,z'
loop_
_atom_site_label
_atom_site_fract_x
_atom_site_fract_y
_atom_site_fract_z
_atom_site_occupancy
Be1 0.000 0.000 0.233 1
Be2 0.000 0.000 0.767 1
Os1 0.500 0.500 0.000 1
Au1 0.500 0.500 0.500 1

2.
# BeOs2Au, optimized geometry, DFT GGA-PBE
# - total DFT energy (no corrections) (eV per formula unit) = -28.031
# - DOS(E_F) (states/eV per atom) = 0.754
# - volume (Å³/atom) = 14.04
data_BeOs2Au
_symmetry_space_group_name_H-M 'P 1'
_symmetry_Int_Tables_number 1
_cell_length_a 8.870
_cell_length_b 8.870
_cell_length_c 8.870
_cell_angle_alpha 17.68
_cell_angle_beta 17.68
_cell_angle_gamma 17.68
loop_
_symmetry_equiv_pos_as_xyz
'x,y,z'
loop_
_atom_site_label
_atom_site_fract_x
_atom_site_fract_y
_atom_site_fract_z
_atom_site_occupancy
Be1 0.000 0.000 0.000 1
Os1 0.261 0.261 0.261 1
Os2 0.739 0.739 0.739 1
Au1 0.500 0.500 0.500 1